[1]
## Ca8Si2H3 (GGA-PBE)

Data for Ca8Si2H3 after structural relaxation.

Cell lengths 5.4320, 9.7692, 8.3938 Å; angles 125.59, 107.52, 90.00 degrees
Fractional coordinates of all 13 atoms:
Ca  0.8522  0.5886  0.1773
Ca  0.1478  0.4114  0.8227
Ca  0.8738  0.1465  0.2930
Ca  0.1262  0.8535  0.7070
Ca  0.6578  0.6654  0.7796
Ca  0.6578  0.1141  0.7796
Ca  0.3422  0.8859  0.2204
Ca  0.3422  0.3346  0.2204
Si  0.5134  0.2813  0.5626
Si  0.4866  0.7187  0.4374
H  0.5000  0.0000  0.0000
H  0.0000  0.3489  0.0000
H  0.0000  0.6511  0.0000

* D(E_F): 7.86 states/eV/cell
* final energy: -3.1062 eV per atom
* magnetization: 1.42 μB per formula unit
* symmetry: C2/m, No. 12

---

[2]
## K2CdSe (GGA-PBE)

Data for K2CdSe after structural relaxation.

Cell lengths 7.1912, 7.1912, 7.1912 Å; angles 146.35, 136.40, 56.18 degrees
Fractional coordinates of all 4 atoms:
Cd  0.3161  0.8161  0.5000
K  0.0087  0.0087  0.0000
K  0.6950  0.1950  0.5000
Se  0.4802  0.4802  0.0000

* ΔE_f (raw): -620 meV/atom
* magnetization: 0.00 μB per formula unit
* symmetry: Imm2, No. 44

---

[3]
## V2Ni6Pt (GGA-PBE)

Data for V2Ni6Pt after structural relaxation.

Cell lengths 3.6816, 5.5941, 5.8018 Å; angles 84.01, 71.50, 70.79 degrees
Fractional coordinates of all 9 atoms:
V  0.3356  0.5000  0.8287
V  0.6644  0.5000  0.1713
Ni  0.9943  0.1684  0.8430
Ni  0.3373  0.1684  0.1570
Ni  0.6627  0.8316  0.8430
Ni  0.3276  0.8448  0.5000
Ni  0.6724  0.1552  0.5000
Ni  0.0057  0.8316  0.1570
Pt  0.0000  0.5000  0.5000

* D(E_F): 11.59 states/eV/cell
* energy relative to the elements: -0.185 eV per atom
* magnetization: 0.00 μB per formula unit
* symmetry: Fmmm, No. 69

---

[4]
## PaReTc2 (GGA-PBE)

Data for PaReTc2 after structural relaxation.

Cell lengths 3.3476, 3.3476, 6.1605 Å; angles 90.00, 90.00, 90.00 degrees
Fractional coordinates of all 4 atoms:
Re  0.5000  0.5000  0.5000
Pa  0.5000  0.5000  0.0000
Tc  0.0000  0.0000  0.7403
Tc  0.0000  0.0000  0.2597

* D(E_F): 6.15 states/eV/cell
* energy relative to the elements: 0.207 eV per atom
* magnetization: 0.00 μB per formula unit
* symmetry: P4/mmm, No. 123

---

[5]
## SrIn2AgRh (GGA-PBE)

Data for SrIn2AgRh after structural relaxation.

Cell lengths 5.0730, 5.0730, 5.3706 Å; angles 90.00, 90.00, 90.00 degrees
Fractional coordinates of all 5 atoms:
Sr  0.5000  0.5000  0.5000
Rh  0.0000  0.0000  0.0000
Ag  0.0000  0.0000  0.5000
In  0.0000  0.5000  0.0000
In  0.5000  0.0000  0.0000

* D(E_F): 2.04 states/eV/cell
* energy relative to the elements: -0.214 eV per atom
* magnetization: 0.00 μB per formula unit
* symmetry: P4/mmm, No. 123

---

[6]
## BaLiAlAg (GGA-PBE)

Data for BaLiAlAg after structural relaxation.

Cell lengths 4.6409, 4.6486, 6.4549 Å; angles 111.04, 90.00, 119.95 degrees
Fractional coordinates of all 4 atoms:
Ba  0.6215  0.2431  0.5059
Li  0.8093  0.6186  0.0703
Al  0.1080  0.2159  0.9655
Ag  0.4275  0.8550  0.9258

* D(E_F): 2.45 states/eV/cell
* energy relative to the elements: -0.209 eV per atom
* magnetization: 0.00 μB per formula unit
* symmetry: Cm, No. 8

---

Q: Among the records above, which one has the highest magnetization?
A: Ca8Si2H3

---

Q: What is the formula in the fifth record?
A: SrIn2AgRh

---

Q: What is the formula in the fifth record?
A: SrIn2AgRh